## LiSmTm2Tl4 (PBE)

Data for a relaxed structure of LiSmTm2Tl4.

Unit cell a=9.3453 b=9.3453 c=9.3453 alpha=32.49 beta=32.49 gamma=32.49
Atoms (fractional coordinates):
Li (0.0000, 0.0000, 0.0000)
Sm (0.5000, 0.5000, 0.5000)
Tm (0.2542, 0.2542, 0.2542)
Tm (0.7458, 0.7458, 0.7458)
Tl (0.1211, 0.1211, 0.1211)
Tl (0.3718, 0.3718, 0.3718)
Tl (0.6282, 0.6282, 0.6282)
Tl (0.8789, 0.8789, 0.8789)

Summary:
* total DFT energy (no corrections): -3.441 eV/atom
* formation enthalpy at 0 K: -0.3108 eV per atom
* calculated volume: 26.181 A^3/atom
* crystal system: trigonal